Version i
The following is a PBE calculation of a relaxed TlAg2H crystal, from Alexandria.

Structure (CIF):
```
data_TlAg2H
_chemical_formula_sum 'Tl2 Ag4 H2'
_cell_length_a 5.7885
_cell_length_b 5.7885
_cell_length_c 5.9884
_cell_angle_alpha 61.10
_cell_angle_beta 61.10
_cell_angle_gamma 90.00
_space_group_name_H-M_alt 'P 1'
_space_group_IT_number 1
loop_
_space_group_symop_operation_xyz
'x,y,z'
loop_
_atom_site_label
_atom_site_type_symbol
_atom_site_fract_x
_atom_site_fract_y
_atom_site_fract_z
H1 H 0.2500 0.7500 0.5000
H2 H 0.5000 0.5000 0.0000
Ag1 Ag 0.3750 0.5440 0.7500
Ag2 Ag 0.2940 0.6250 0.2500
Ag3 Ag 0.8750 0.7060 0.7500
Ag4 Ag 0.4560 0.1250 0.2500
Tl1 Tl 0.0000 0.0000 0.0000
Tl2 Tl 0.7500 0.2500 0.5000
```

Computed properties:
Symmetry ... I-42d, No. 122

Version ii
The following is a PBE calculation of a relaxed TlAg2H crystal, from Alexandria.

Structure (CIF):
```
data_TlAg2H
_chemical_formula_sum 'Tl1 Ag2 H1'
_cell_length_a 4.7056
_cell_length_b 4.7056
_cell_length_c 4.7056
_cell_angle_alpha 60.00
_cell_angle_beta 60.00
_cell_angle_gamma 60.00
_space_group_name_H-M_alt 'P 1'
_space_group_IT_number 1
loop_
_space_group_symop_operation_xyz
'x,y,z'
loop_
_atom_site_label
_atom_site_type_symbol
_atom_site_fract_x
_atom_site_fract_y
_atom_site_fract_z
Ag1 Ag 0.2500 0.2500 0.2500
Ag2 Ag 0.7500 0.7500 0.7500
Tl1 Tl 0.5000 0.5000 0.5000
H1 H 0.0000 0.0000 0.0000
```

Computed properties:
Symmetry ... Fm-3m, No. 225

Bottom line: version i, by a margin of 409 meV/atom.

Version i
The following is a PBE calculation of a relaxed TlAg2H2 crystal, from Alexandria.

Structure (CIF):
```
data_TlAg2H2
_chemical_formula_sum 'Tl2 Ag4 H4'
_cell_length_a 7.2560
_cell_length_b 7.2560
_cell_length_c 2.9038
_cell_angle_alpha 90.00
_cell_angle_beta 90.00
_cell_angle_gamma 90.00
_space_group_name_H-M_alt 'P 1'
_space_group_IT_number 1
loop_
_space_group_symop_operation_xyz
'x,y,z'
loop_
_atom_site_label
_atom_site_type_symbol
_atom_site_fract_x
_atom_site_fract_y
_atom_site_fract_z
H1 H 0.3907 0.8907 0.0000
H2 H 0.6093 0.1093 0.0000
H3 H 0.1093 0.3907 0.0000
H4 H 0.8907 0.6093 0.0000
Ag1 Ag 0.3679 0.1321 0.5000
Ag2 Ag 0.6321 0.8679 0.5000
Ag3 Ag 0.1321 0.6321 0.5000
Ag4 Ag 0.8679 0.3679 0.5000
Tl1 Tl 0.5000 0.5000 0.0000
Tl2 Tl 0.0000 0.0000 0.0000
```

Computed properties:
Symmetry ... P4/mbm, No. 127

Version ii
The following is a PBE calculation of a relaxed TlAg2H2 crystal, from Alexandria.

Structure (CIF):
```
data_TlAg2H2
_chemical_formula_sum 'Tl1 Ag2 H2'
_cell_length_a 3.7163
_cell_length_b 3.7163
_cell_length_c 6.2269
_cell_angle_alpha 72.64
_cell_angle_beta 72.64
_cell_angle_gamma 90.00
_space_group_name_H-M_alt 'P 1'
_space_group_IT_number 1
loop_
_space_group_symop_operation_xyz
'x,y,z'
loop_
_atom_site_label
_atom_site_type_symbol
_atom_site_fract_x
_atom_site_fract_y
_atom_site_fract_z
Tl1 Tl 0.0000 0.0000 0.0000
H1 H 0.2500 0.7500 0.5000
H2 H 0.7500 0.2500 0.5000
Ag1 Ag 0.3139 0.3139 0.3721
Ag2 Ag 0.6861 0.6861 0.6279
```

Computed properties:
Symmetry ... I4/mmm, No. 139

Bottom line: version ii, by a margin of 289 meV/atom.

Version i
The following is a PBE calculation of a relaxed V2AgH crystal, from Alexandria.

Structure (CIF):
```
data_V2AgH
_chemical_formula_sum 'V2 Ag1 H1'
_cell_length_a 2.6985
_cell_length_b 2.6985
_cell_length_c 8.0132
_cell_angle_alpha 80.31
_cell_angle_beta 80.31
_cell_angle_gamma 60.00
_space_group_name_H-M_alt 'P 1'
_space_group_IT_number 1
loop_
_space_group_symop_operation_xyz
'x,y,z'
loop_
_atom_site_label
_atom_site_type_symbol
_atom_site_fract_x
_atom_site_fract_y
_atom_site_fract_z
V1 V 0.8844 0.8844 0.3469
V2 V 0.1156 0.1156 0.6531
H1 H 0.5000 0.5000 0.5000
Ag1 Ag 0.0000 0.0000 0.0000
```

Computed properties:
Symmetry ... R-3m, No. 166

Version ii
The following is a PBE calculation of a relaxed V2AgH crystal, from Alexandria.

Structure (CIF):
```
data_V2AgH
_chemical_formula_sum 'V4 Ag2 H2'
_cell_length_a 5.2679
_cell_length_b 5.2679
_cell_length_c 5.2693
_cell_angle_alpha 60.01
_cell_angle_beta 60.01
_cell_angle_gamma 90.00
_space_group_name_H-M_alt 'P 1'
_space_group_IT_number 1
loop_
_space_group_symop_operation_xyz
'x,y,z'
loop_
_atom_site_label
_atom_site_type_symbol
_atom_site_fract_x
_atom_site_fract_y
_atom_site_fract_z
V1 V 0.3748 0.6250 0.2500
V2 V 0.8750 0.6252 0.7500
V3 V 0.3752 0.1250 0.2500
V4 V 0.3750 0.6248 0.7500
H1 H 0.2500 0.7500 0.5000
H2 H 0.5000 0.5000 0.0000
Ag1 Ag 0.7500 0.2500 0.5000
Ag2 Ag 0.0000 0.0000 0.0000
```

Computed properties:
Symmetry ... Fd-3m, No. 227

Bottom line: version i, by a margin of 55 meV/atom.

Version i
The following is a PBE calculation of a relaxed YAgH2 crystal, from Alexandria.

Structure (CIF):
```
data_YAgH2
_chemical_formula_sum 'Y2 Ag2 H4'
_cell_length_a 4.5450
_cell_length_b 4.5450
_cell_length_c 6.3703
_cell_angle_alpha 69.10
_cell_angle_beta 69.10
_cell_angle_gamma 90.00
_space_group_name_H-M_alt 'P 1'
_space_group_IT_number 1
loop_
_space_group_symop_operation_xyz
'x,y,z'
loop_
_atom_site_label
_atom_site_type_symbol
_atom_site_fract_x
_atom_site_fract_y
_atom_site_fract_z
Ag1 Ag 0.7500 0.2500 0.5000
Ag2 Ag 0.0000 0.0000 0.0000
H1 H 0.6346 0.1250 0.2500
H2 H 0.8750 0.8846 0.7500
H3 H 0.1154 0.6250 0.2500
H4 H 0.3750 0.3654 0.7500
Y1 Y 0.5000 0.5000 0.0000
Y2 Y 0.2500 0.7500 0.5000
```

Computed properties:
Symmetry ... I-42d, No. 122

Version ii
The following is a PBE calculation of a relaxed YAgH2 crystal, from Alexandria.

Structure (CIF):
```
data_YAgH2
_chemical_formula_sum 'Y1 Ag1 H2'
_cell_length_a 4.1773
_cell_length_b 4.1773
_cell_length_c 4.1773
_cell_angle_alpha 60.00
_cell_angle_beta 60.00
_cell_angle_gamma 60.00
_space_group_name_H-M_alt 'P 1'
_space_group_IT_number 1
loop_
_space_group_symop_operation_xyz
'x,y,z'
loop_
_atom_site_label
_atom_site_type_symbol
_atom_site_fract_x
_atom_site_fract_y
_atom_site_fract_z
H1 H 0.2500 0.2500 0.2500
H2 H 0.7500 0.7500 0.7500
Ag1 Ag 0.5000 0.5000 0.5000
Y1 Y 0.0000 0.0000 0.0000
```

Computed properties:
Symmetry ... Fm-3m, No. 225

Bottom line: version ii, by a margin of 63 meV/atom.

Version i
The following is a PBE calculation of a relaxed Zn2AgH2 crystal, from Alexandria.

Structure (CIF):
```
data_Zn2AgH2
_chemical_formula_sum 'Zn4 Ag2 H4'
_cell_length_a 5.1830
_cell_length_b 5.1830
_cell_length_c 4.4793
_cell_angle_alpha 90.00
_cell_angle_beta 90.00
_cell_angle_gamma 90.00
_space_group_name_H-M_alt 'P 1'
_space_group_IT_number 1
loop_
_space_group_symop_operation_xyz
'x,y,z'
loop_
_atom_site_label
_atom_site_type_symbol
_atom_site_fract_x
_atom_site_fract_y
_atom_site_fract_z
H1 H 0.2911 0.2089 0.0000
H2 H 0.7911 0.2911 0.0000
H3 H 0.7089 0.7911 0.0000
H4 H 0.2089 0.7089 0.0000
Zn1 Zn 0.6784 0.8216 0.5000
Zn2 Zn 0.3216 0.1784 0.5000
Zn3 Zn 0.8216 0.3216 0.5000
Zn4 Zn 0.1784 0.6784 0.5000
Ag1 Ag 0.5000 0.5000 0.0000
Ag2 Ag 0.0000 0.0000 0.0000
```

Computed properties:
Symmetry ... P4/mbm, No. 127

Version ii
The following is a PBE calculation of a relaxed Zn2AgH2 crystal, from Alexandria.

Structure (CIF):
```
data_Zn2AgH2
_chemical_formula_sum 'Zn2 Ag1 H2'
_cell_length_a 4.8003
_cell_length_b 4.8003
_cell_length_c 4.3356
_cell_angle_alpha 56.39
_cell_angle_beta 56.39
_cell_angle_gamma 90.00
_space_group_name_H-M_alt 'P 1'
_space_group_IT_number 1
loop_
_space_group_symop_operation_xyz
'x,y,z'
loop_
_atom_site_label
_atom_site_type_symbol
_atom_site_fract_x
_atom_site_fract_y
_atom_site_fract_z
Zn1 Zn 0.2500 0.7500 0.5000
Zn2 Zn 0.7500 0.2500 0.5000
H1 H 0.3164 0.3164 0.3672
H2 H 0.6836 0.6836 0.6328
Ag1 Ag 0.0000 0.0000 0.0000
```

Computed properties:
Symmetry ... I4/mmm, No. 139

Bottom line: version i, by a margin of 50 meV/atom.

Version i
The following is a PBE calculation of a relaxed ZnAg2H2 crystal, from Alexandria.

Structure (CIF):
```
data_ZnAg2H2
_chemical_formula_sum 'Zn2 Ag4 H4'
_cell_length_a 5.5864
_cell_length_b 5.5864
_cell_length_c 3.9528
_cell_angle_alpha 90.00
_cell_angle_beta 90.00
_cell_angle_gamma 90.00
_space_group_name_H-M_alt 'P 1'
_space_group_IT_number 1
loop_
_space_group_symop_operation_xyz
'x,y,z'
loop_
_atom_site_label
_atom_site_type_symbol
_atom_site_fract_x
_atom_site_fract_y
_atom_site_fract_z
Ag1 Ag 0.3086 0.8086 0.5000
Ag2 Ag 0.8086 0.6914 0.5000
Ag3 Ag 0.6914 0.1914 0.5000
Ag4 Ag 0.1914 0.3086 0.5000
H1 H 0.3020 0.8020 0.0000
H2 H 0.6980 0.1980 0.0000
H3 H 0.1980 0.3020 0.0000
H4 H 0.8020 0.6980 0.0000
Zn1 Zn 0.0000 0.0000 0.0000
Zn2 Zn 0.5000 0.5000 0.0000
```

Computed properties:
Symmetry ... P4/mbm, No. 127

Version ii
The following is a PBE calculation of a relaxed ZnAg2H2 crystal, from Alexandria.

Structure (CIF):
```
data_ZnAg2H2
_chemical_formula_sum 'Zn1 Ag2 H2'
_cell_length_a 3.2748
_cell_length_b 3.2748
_cell_length_c 6.0471
_cell_angle_alpha 74.29
_cell_angle_beta 74.29
_cell_angle_gamma 90.00
_space_group_name_H-M_alt 'P 1'
_space_group_IT_number 1
loop_
_space_group_symop_operation_xyz
'x,y,z'
loop_
_atom_site_label
_atom_site_type_symbol
_atom_site_fract_x
_atom_site_fract_y
_atom_site_fract_z
H1 H 0.2500 0.7500 0.5000
H2 H 0.7500 0.2500 0.5000
Ag1 Ag 0.6433 0.6433 0.7134
Ag2 Ag 0.3567 0.3567 0.2866
Zn1 Zn 0.0000 0.0000 0.0000
```

Computed properties:
Symmetry ... I4/mmm, No. 139

Bottom line: version i, by a margin of 104 meV/atom.